Density functional theory data (PBE) for a relaxed ScCdCl2 crystal.

Results
**ΔE_f (raw)**: -2.737 eV/f.u.
**SG**: Fm-3m, No. 225
**Relative energy among the computed polymorphs**: 598.3 meV per atom

extended XYZ file:
```
16
Lattice="7.0696 0.0000 0.0000 0.0000 7.0696 0.0000 0.0000 0.0000 7.0696" Properties=species:S:1:pos:R:3 pbc="T T T"
Sc 0.0000 0.0000 0.0000
Sc 0.0000 3.5348 3.5348
Sc 3.5348 0.0000 3.5348
Sc 3.5348 3.5348 0.0000
Cd 0.0000 0.0000 3.5348
Cd 0.0000 3.5348 0.0000
Cd 3.5348 0.0000 0.0000
Cd 3.5348 3.5348 3.5348
Cl 1.7674 1.7674 1.7674
Cl 1.7674 1.7674 5.3022
Cl 1.7674 5.3022 1.7674
Cl 1.7674 5.3022 5.3022
Cl 5.3022 1.7674 1.7674
Cl 5.3022 1.7674 5.3022
Cl 5.3022 5.3022 1.7674
Cl 5.3022 5.3022 5.3022
```

---

Density functional theory data (PBE) for a relaxed Si5Br crystal.

Results
**ΔE_f (raw)**: 3.057 eV/f.u.
**SG**: P6/mmm, No. 191
**Relative energy among the computed polymorphs**: 156.9 meV per atom

extended XYZ file:
```
6
Lattice="5.4425 0.0000 0.0000 -2.7213 4.7134 0.0000 0.0000 0.0000 4.1149" Properties=species:S:1:pos:R:3 pbc="T T T"
Si -1.3606 2.3567 0.0000
Si 0.0000 3.1422 2.0574
Si 2.7213 0.0000 0.0000
Si 1.3606 2.3567 0.0000
Si 2.7213 1.5711 2.0574
Br 0.0000 0.0000 2.0574
```

---

Density functional theory data (PBE) for a relaxed CdTc crystal.

Results
**SG**: R-3m, No. 166
**DFT formation energy**: 149 meV/atom
**Relative energy among the computed polymorphs**: 36.9 meV per atom

extended XYZ file:
```
12
Lattice="2.8612 0.0000 0.0000 -1.4306 2.4779 0.0000 0.0000 0.0000 29.8262" Properties=species:S:1:pos:R:3 pbc="T T T"
Cd 0.0000 0.0000 3.5113
Cd 0.0000 0.0000 26.3149
Cd 0.0000 1.6519 16.3729
Cd 0.0000 1.6519 23.3954
Cd 1.4306 0.8259 6.4308
Cd 1.4306 0.8259 13.4533
Tc 0.0000 0.0000 10.9377
Tc 0.0000 0.0000 18.8886
Tc 0.0000 1.6519 0.9956
Tc 0.0000 1.6519 8.9465
Tc 1.4306 0.8259 20.8797
Tc 1.4306 0.8259 28.8306
```

---

Density functional theory data (PBE) for a relaxed Mn2AuBr crystal.

Results
**ΔE_f (raw)**: 0.597 eV/f.u.
**SG**: Imm2, No. 44
**Relative energy among the computed polymorphs**: 84.9 meV per atom

extended XYZ file:
```
8
Lattice="3.2355 0.0000 0.0000 0.0000 4.0936 0.0000 0.0000 0.0000 12.6234" Properties=species:S:1:pos:R:3 pbc="T T T"
Mn 0.0000 0.0000 0.0000
Mn 0.0000 2.0468 3.9212
Mn 1.6177 0.0000 10.2328
Mn 1.6177 2.0468 6.3117
Au 0.0000 2.0468 10.9161
Au 1.6177 0.0000 4.6044
Br 0.0000 0.0000 7.8997
Br 1.6177 2.0468 1.5880
```

---

Density functional theory data (PBE) for a relaxed Ba4Au2N crystal.

Results
**ΔE_f (raw)**: -3.729 eV/f.u.
**SG**: P2_1/m, No. 11
**Relative energy among the computed polymorphs**: 0.0 meV per atom

extended XYZ file:
```
14
Lattice="7.8696 0.0000 0.0000 0.0000 7.8974 0.0000 -2.7171 0.0000 8.8078" Properties=species:S:1:pos:R:3 pbc="T T T"
Ba -0.4791 0.0906 2.2172
Ba -0.4791 3.8581 2.2172
Ba 1.7731 1.9744 5.1465
Ba 3.0739 1.9744 1.1448
Ba 2.0786 5.9231 7.6630
Ba 3.3794 5.9231 3.6612
Ba 5.6316 4.0393 6.5906
Ba 5.6316 7.8068 6.5906
Au 0.2009 5.9231 4.8863
Au 1.7085 5.9231 0.5129
Au 3.4441 1.9744 8.2949
Au 4.9517 1.9744 3.9215
N 1.1048 1.9744 2.7246
N 4.0477 5.9231 6.0831
```

---

Density functional theory data (PBE) for a relaxed Ce2Ga2TcGe4 crystal.

Results
**SG**: I4/mmm, No. 139
**DFT formation energy**: -502 meV/atom

extended XYZ file:
```
9
Lattice="-3.1495 3.1495 4.3978 3.1495 -3.1495 4.3978 3.1495 3.1495 -4.3978" Properties=species:S:1:pos:R:3 pbc="T T T"
Ce 3.1495 0.0000 2.1989
Ce 0.0000 3.1495 2.1989
Ga 0.0000 0.0000 1.8760
Ga 0.0000 0.0000 6.9196
Tc 0.0000 0.0000 4.3978
Ge 1.3818 1.3818 0.0000
Ge 1.7677 -1.7677 4.3978
Ge -1.7677 1.7677 4.3978
Ge 1.7677 1.7677 4.3978
```

---

Density functional theory data (PBE) for a relaxed RbCrB2Br8 crystal.

Results
**ΔE_f (raw)**: -6.909 eV/f.u.
**SG**: R-3, No. 148

extended XYZ file:
```
12
Lattice="3.2434 1.8726 9.8454 -3.2434 1.8726 9.8454 0.0000 -3.7451 9.8454" Properties=species:S:1:pos:R:3 pbc="T T T"
Rb 0.0000 0.0000 0.0000
Cr 0.0000 0.0000 14.7680
B 0.0000 0.0000 7.2874
B 0.0000 0.0000 22.2487
Br -2.2714 -0.1920 13.0525
Br -0.9694 -2.0631 16.4836
Br 0.0000 0.0000 9.3191
Br 1.3020 -1.8710 13.0525
Br -1.3020 1.8710 16.4836
Br 0.0000 0.0000 20.2170
Br 0.9694 2.0631 13.0525
Br 2.2714 0.1920 16.4836
```

---

Density functional theory data (PBE) for a relaxed Ho2NpS4 crystal.

Results
**ΔE_f (raw)**: -12.904 eV/f.u.
**SG**: Pnma, No. 62
**Relative energy among the computed polymorphs**: 0.0 meV per atom

extended XYZ file:
```
28
Lattice="12.9037 0.0000 0.0000 0.0000 3.8291 0.0000 0.0000 0.0000 12.9618" Properties=species:S:1:pos:R:3 pbc="T T T"
Ho 1.4093 0.9573 1.0350
Ho 1.9217 0.9573 9.1256
Ho 4.5301 2.8718 2.6447
Ho 5.0426 2.8718 7.5159
Ho 7.8611 0.9573 5.4459
Ho 8.3736 0.9573 10.3171
Ho 10.9820 2.8718 3.8362
Ho 11.4944 2.8718 11.9268
Np 1.6258 2.8718 5.4672
Np 4.8261 0.9573 11.9481
Np 8.0776 2.8718 1.0137
Np 11.2779 0.9573 7.4946
S 0.3676 2.8718 8.0067
S 0.4292 0.9573 11.4172
S 2.7414 0.9573 3.4793
S 3.1819 2.8718 0.2883
S 3.2700 0.9573 6.7692
S 3.7105 2.8718 9.9602
S 6.0226 2.8718 4.9363
S 6.0842 0.9573 1.5258
S 6.8195 2.8718 11.4360
S 6.8811 0.9573 8.0254
S 9.1932 0.9573 3.0016
S 9.6337 2.8718 6.1926
S 9.7218 0.9573 12.6735
S 10.1623 2.8718 9.4825
S 12.4745 2.8718 1.5445
S 12.5361 0.9573 4.9551
```

---

Density functional theory data (PBE) for a relaxed Li4LaPb2 crystal.

Results
**SG**: P4_2/mnm, No. 136
**DFT formation energy**: -400 meV/atom

extended XYZ file:
```
14
Lattice="8.2734 0.0000 0.0000 0.0000 8.2734 0.0000 0.0000 0.0000 4.7816" Properties=species:S:1:pos:R:3 pbc="T T T"
Li 0.8580 2.9068 0.0000
Li 1.2300 4.9948 2.3908
Li 2.9068 0.8580 0.0000
Li 3.2787 7.0435 2.3908
Li 4.9948 1.2300 2.3908
Li 5.3667 7.4154 0.0000
Li 7.0435 3.2787 2.3908
Li 7.4154 5.3667 0.0000
La 0.0000 0.0000 2.3908
La 4.1367 4.1367 0.0000
Pb 1.7457 6.5278 0.0000
Pb 2.3911 2.3911 2.3908
Pb 5.8824 5.8824 2.3908
Pb 6.5278 1.7457 0.0000
```

---

Density functional theory data (PBE) for a relaxed SrRe2Ru crystal.

Results
**SG**: P4/mmm, No. 123
**DFT formation energy**: 1235 meV/atom
**Relative energy among the computed polymorphs**: 641.8 meV per atom

extended XYZ file:
```
4
Lattice="3.8174 0.0000 0.0000 0.0000 3.8174 0.0000 0.0000 0.0000 4.9812" Properties=species:S:1:pos:R:3 pbc="T T T"
Sr 0.0000 0.0000 0.0000
Re 0.0000 1.9087 2.4906
Re 1.9087 0.0000 2.4906
Ru 1.9087 1.9087 0.0000
```

---

Density functional theory data (PBE) for a relaxed CrCd2Sn crystal.

Results
**SG**: I-42d, No. 122
**DFT formation energy**: 441 meV/atom

extended XYZ file:
```
16
Lattice="8.1834 0.0000 0.0000 0.0000 8.1834 0.0000 0.0000 0.0000 5.6472" Properties=species:S:1:pos:R:3 pbc="T T T"
Cr 0.0000 0.0000 0.0000
Cr 0.0000 4.0917 1.4118
Cr 4.0917 0.0000 4.2354
Cr 4.0917 4.0917 2.8236
Cd 1.9090 2.0458 0.7059
Cd 2.0458 6.0007 2.1177
Cd 2.0458 6.2744 4.9413
Cd 2.1827 2.0458 3.5295
Cd 6.0007 6.1375 3.5295
Cd 6.1375 1.9090 4.9413
Cd 6.1375 2.1827 2.1177
Cd 6.2744 6.1375 0.7059
Sn 0.0000 0.0000 2.8236
Sn 0.0000 4.0917 4.2354
Sn 4.0917 0.0000 1.4118
Sn 4.0917 4.0917 0.0000
```

---

Density functional theory data (PBE) for a relaxed HfPbSe2O8 crystal.

Results
**ΔE_f (raw)**: -16.540 eV/f.u.
**SG**: C2/m, No. 12

extended XYZ file:
```
12
Lattice="3.6335 -3.4156 0.0000 3.6335 3.4156 0.0000 -0.0093 0.0000 6.7179" Properties=species:S:1:pos:R:3 pbc="T T T"
Hf 0.0000 0.0000 0.0000
Pb -0.0047 0.0000 3.3589
Se 3.2123 0.0000 1.6664
Se 4.0454 0.0000 5.0515
O 3.3662 2.0850 1.6025
O 3.8915 2.0850 5.1154
O 2.0870 0.0000 0.3564
O 2.2299 0.0000 3.0830
O 5.0278 0.0000 3.6349
O 5.1707 0.0000 6.3615
O 3.3662 -2.0850 1.6025
O 3.8915 -2.0850 5.1154
```